No. 1
Compound: K2Tl9Pt3
Source: Alexandria via LeMat-Bulk
Functional: GGA-PBE
Structure: relaxed

```
K2Tl9Pt3
1.0
-4.6748 -5.5651 4.6768
6.4890 -4.6100 -3.3672
6.8767 7.4365 6.8137
K Tl Pt
4 18 6
Direct
0.2710 0.2603 0.7328 K
0.7290 0.7397 0.2672 K
0.0275 0.5382 0.7672 K
0.9725 0.4618 0.2328 K
0.4554 0.9470 0.7569 Tl
0.5446 0.0530 0.2431 Tl
0.6902 0.6986 0.7431 Tl
0.3098 0.3014 0.2569 Tl
0.5174 0.6693 0.9420 Tl
0.4826 0.3307 0.0580 Tl
0.2274 0.5754 0.5580 Tl
0.7726 0.4246 0.4420 Tl
0.8512 0.1012 0.7500 Tl
0.1488 0.8988 0.2500 Tl
0.1419 0.9566 0.9432 Tl
0.8581 0.0434 0.0568 Tl
0.5134 0.1987 0.5568 Tl
0.4866 0.8013 0.4432 Tl
0.9535 0.8452 0.5906 Tl
0.0465 0.1548 0.4094 Tl
0.7546 0.3629 0.9094 Tl
0.2454 0.6371 0.0906 Tl
0.5000 0.0000 0.0000 Pt
0.5000 0.5000 0.5000 Pt
0.7834 0.0996 0.4994 Pt
0.2166 0.9004 0.5006 Pt
0.1001 0.2839 0.0006 Pt
0.8999 0.7161 0.9994 Pt
```

* calculated formation energy: -1.19 eV per formula unit
* total magnetic moment: 0.00 μB per formula unit
* space-group type: C2/c (15)
* VASP energy: -42.80 eV per formula unit

=====

No. 2
Compound: KTl2Pt
Source: Alexandria via LeMat-Bulk
Functional: GGA-PBE
Structure: relaxed

```
KTl2Pt
1.0
-2.8174 -0.9009 1.9578
-1.2120 -2.0139 -2.6709
4.2368 -6.6050 3.0576
Tl K Pt
2 1 1
Direct
0.0000 0.0000 0.9427 Tl
0.0000 0.0000 0.5573 Tl
0.5000 0.5000 0.2500 K
0.5000 0.5000 0.7500 Pt
```

* calculated formation energy: -0.40 eV per formula unit
* total magnetic moment: 0.00 μB per formula unit
* space-group type: Pmmm (47)
* VASP energy: -12.27 eV per formula unit

=====

No. 3
Compound: KTl2Pt
Source: Alexandria via LeMat-Bulk
Functional: GGA-PBE
Structure: relaxed

```
KTl2Pt
1.0
4.4888 -0.0373 -0.0009
2.2843 3.8642 -0.0009
2.2634 1.2789 7.1590
Tl K Pt
2 1 1
Direct
0.9439 0.9439 0.1680 Tl
0.7222 0.7222 0.8326 Tl
0.5017 0.5017 0.4968 K
0.3322 0.3322 0.0026 Pt
```

* calculated formation energy: -0.58 eV per formula unit
* total magnetic moment: 0.00 μB per formula unit
* space-group type: Cm (8)
* VASP energy: -12.46 eV per formula unit

=====

No. 4
Compound: KTlPt
Source: Alexandria via LeMat-Bulk
Functional: GGA-PBE
Structure: relaxed

```
KTlPt
1.0
-4.0439 0.9300 2.8073
0.0728 -1.0038 4.9078
0.0656 3.7488 3.3229
K Pt Tl
1 1 1
Direct
0.5000 0.5000 0.5000 K
0.7500 0.7500 0.7500 Pt
0.0000 0.0000 0.0000 Tl
```

* calculated formation energy: 0.03 eV per formula unit
* total magnetic moment: 0.00 μB per formula unit
* space-group type: F-43m (216)
* VASP energy: -9.48 eV per formula unit

=====

No. 5
Compound: KTlPt2
Source: Alexandria via LeMat-Bulk
Functional: GGA-PBE
Structure: relaxed

```
KTlPt2
1.0
-2.2717 -2.2154 -1.9220
0.0069 -1.9975 2.2944
-6.3505 1.6968 5.5500
K Pt Tl
1 2 1
Direct
0.5000 0.7500 0.7500 K
0.0000 0.9456 0.0546 Pt
0.0000 0.5544 0.4454 Pt
0.5000 0.2500 0.2500 Tl
```

* calculated formation energy: 0.50 eV per formula unit
* total magnetic moment: 0.00 μB per formula unit
* space-group type: P2/m (10)
* VASP energy: -15.04 eV per formula unit

=====

No. 6
Compound: KTl2Pt2
Source: Alexandria via LeMat-Bulk
Functional: GGA-PBE
Structure: relaxed

```
KTl2Pt2
1.0
-2.9953 -3.2711 -0.4517
3.9082 -3.4898 -0.6433
0.4737 1.7740 6.0134
K Tl Pt
1 2 2
Direct
0.0000 0.0000 0.0000 K
0.3559 0.4358 0.7118 Tl
0.6441 0.5642 0.2882 Tl
0.7440 0.1375 0.4880 Pt
0.2560 0.8625 0.5120 Pt
```

* calculated formation energy: -0.83 eV per formula unit
* total magnetic moment: 0.00 μB per formula unit
* space-group type: C2/m (12)
* excess energy over the best structure of this formula in the dataset: 0.00 eV/f.u.
* VASP energy: -18.74 eV per formula unit

=====

No. 7
Compound: K3Tl7Pt2
Source: Alexandria via LeMat-Bulk
Functional: GGA-PBE
Structure: relaxed

```
K3Tl7Pt2
1.0
4.8309 0.0000 0.0000
0.0000 5.0673 -0.7526
0.0000 -0.2637 15.6610
K Tl Pt
3 7 2
Direct
0.5000 0.5000 0.0000 K
0.5000 0.6790 0.3580 K
0.5000 0.3210 0.6420 K
0.0000 0.4106 0.8211 Tl
0.0000 0.7793 0.5586 Tl
0.0000 0.0000 0.0000 Tl
0.0000 0.5894 0.1789 Tl
0.5000 0.0872 0.1743 Tl
0.5000 0.9128 0.8257 Tl
0.0000 0.2207 0.4414 Tl
0.0000 0.8672 0.7344 Pt
0.0000 0.1328 0.2656 Pt
```

* calculated formation energy: -1.23 eV per formula unit
* total magnetic moment: 0.00 μB per formula unit
* space-group type: Cmmm (65)
* VASP energy: -33.16 eV per formula unit

=====

No. 8
Compound: KTlPt2
Source: Alexandria via LeMat-Bulk
Functional: GGA-PBE
Structure: relaxed

```
KTlPt2
1.0
4.2943 0.0000 0.0000
0.0000 3.2559 -0.0951
0.0000 0.2287 7.4272
K Pt Tl
1 2 1
Direct
0.5000 0.8729 0.7800 K
0.0000 0.8763 0.1252 Pt
0.5000 0.3759 0.1614 Pt
0.0000 0.3750 0.4334 Tl
```

* calculated formation energy: -0.24 eV per formula unit
* total magnetic moment: 0.00 μB per formula unit
* space-group type: Pm (6)
* VASP energy: -15.79 eV per formula unit

=====

Among the records above, which one has the highest VASP energy? KTlPt

=====

What is the formula in the sixth record? KTl2Pt2

=====

Look up the calculated formation energy of the sixth one. -0.83 eV per formula unit